(1)
{"formula": "BeTlSi2", "functional": "PBE", "state": "optimized geometry", "dos_at_fermi_per_ev_fu": 1.26, "e_tot_ev_per_atom": -3.730, "density_g_cm3": 6.00, "magnetic_moment_mub_per_cell": 0.0, "cell": [[-0.108, 1.642, -2.646], [-1.801, -2.295, -1.350], [-6.167, 3.438, 2.385]], "species": ["Be", "Tl", "Si", "Si"], "fractional_positions": [[0.500, 0.500, 0.840], [0.000, 0.000, 0.538], [0.000, 0.000, 0.972], [0.500, 0.500, 0.149]]}

***

(2)
{"formula": "Be2TlSi", "functional": "PBE", "state": "optimized geometry", "dos_at_fermi_per_ev_fu": 1.54, "e_tot_ev_per_atom": -2.971, "density_g_cm3": 6.72, "magnetic_moment_mub_per_cell": 0.0, "cell": [[-2.391, 2.337, -3.207], [2.806, -2.727, -2.481], [-2.073, -2.128, -0.005]], "species": ["Be", "Be", "Tl", "Si"], "fractional_positions": [[0.000, 0.000, 0.000], [0.500, 0.500, 0.000], [0.000, 0.500, 0.500], [0.500, 0.000, 0.500]]}

***

(3)
{"formula": "Be2TlSi", "functional": "PBE", "state": "optimized geometry", "dos_at_fermi_per_ev_fu": 1.15, "e_tot_ev_per_atom": -3.293, "density_g_cm3": 6.43, "magnetic_moment_mub_per_cell": 0.0, "cell": [[-5.256, -1.143, 3.183], [-3.335, -5.099, 1.392], [5.673, 2.588, -0.428]], "species": ["Be", "Be", "Tl", "Si"], "fractional_positions": [[0.017, 0.017, 0.000], [0.653, 0.153, 0.500], [0.300, 0.800, 0.500], [0.531, 0.531, 0.000]]}

***

(4)
{"formula": "BeTlSi2", "functional": "PBE", "state": "optimized geometry", "dos_at_fermi_per_ev_fu": 0.94, "e_tot_ev_per_atom": -3.734, "density_g_cm3": 6.10, "magnetic_moment_mub_per_cell": 0.0, "cell": [[-2.828, 1.000, -0.352], [-0.929, -2.821, -0.545], [-1.356, -1.071, 7.854]], "species": ["Be", "Tl", "Si", "Si"], "fractional_positions": [[0.500, 0.500, 0.750], [0.500, 0.500, 0.250], [0.000, 0.000, 0.906], [0.000, 0.000, 0.594]]}

***

> Which formula does entry 4 have?

BeTlSi2